[1]
## ZnSbAu2 (PBE-GGA)

Data for a relaxed ZnSbAu2 crystal.

a b c (Å): 4.3635 4.3635 5.6845
angles (deg): 67.43 67.43 60.00
Last column: nearest neighbours and their distance in Å.
Fractional coordinates of all 4 atoms:
Zn (0.6746, 0.6746, 0.9762)  6 Au 2.67-2.73, 1 Sb 2.84
Sb (0.4886, 0.4886, 0.5342)  1 Zn 2.84, 6 Au 2.87-3.08
Au (0.0652, 0.0652, 0.8044)  3 Zn 2.67, 3 Sb 2.87
Au (0.2716, 0.2716, 0.1851)  3 Zn 2.73

Results
* M_tot: 0.0 μB/f.u.
* uncorrected energy: -12.034 eV for the cell shown
* symmetry: R3m
* formation energy from raw total energies: -0.021 eV per atom
* polymorph energy (0 for the lowest one): 0.045 eV per atom

=====

[2]
## Sm3Ho8Th3 (PBE-GGA)

Data for a relaxed Sm3Ho8Th3 crystal.

a b c (Å): 5.6391 9.6359 9.6359
angles (deg): 102.25 73.00 73.00
Last column: nearest neighbours and their distance in Å.
Fractional coordinates of all 14 atoms:
Sm (0.5000, 0.5000, 0.5000)  2 Sm 3.29, 8 Ho 3.64-3.65
Sm (0.8076, 0.1922, 0.1922)  1 Sm 3.29, 4 Th 3.46-3.49, 4 Ho 3.59
Sm (0.1924, 0.8078, 0.8078)  1 Sm 3.29, 4 Th 3.46-3.49, 4 Ho 3.59
Ho (0.6583, 0.1176, 0.5661)  6 Ho 3.24-3.52, 2 Th 3.55-3.56
Ho (0.3417, 0.8824, 0.4339)  6 Ho 3.24-3.52, 2 Th 3.55-3.56
Ho (0.6583, 0.5661, 0.1176)  6 Ho 3.24-3.52, 2 Th 3.55-3.56
Ho (0.3417, 0.4339, 0.8824)  6 Ho 3.24-3.52, 2 Th 3.55-3.56
Ho (0.8404, 0.7632, 0.5560)  5 Ho 3.11-3.42
Ho (0.1596, 0.2368, 0.4440)  5 Ho 3.11-3.42
Ho (0.8404, 0.5560, 0.7632)  5 Ho 3.11-3.42
Ho (0.1596, 0.4440, 0.2368)  5 Ho 3.11-3.42
Th (0.5000, 0.0000, 0.0000)  4 Sm 3.49
Th (0.0000, 0.8143, 0.1857)  2 Sm 3.46, 8 Ho 3.55-3.70
Th (0.0000, 0.1857, 0.8143)  2 Sm 3.46, 8 Ho 3.55-3.70

Results
* calculated formation energy: 0.16 eV/atom
* M_tot: 0.0 μB/f.u.
* uncorrected energy: -70.847 eV for the cell shown
* symmetry: Immm

=====

[3]
## AcInGaBi (PBE-GGA)

Data for a relaxed AcInGaBi crystal.

a b c (Å): 5.5535 5.5535 5.5535
angles (deg): 60.00 60.00 60.00
Last column: nearest neighbours and their distance in Å.
Fractional coordinates of all 4 atoms:
Ac (0.7500, 0.7500, 0.7500)  4 Ga 3.40, 4 In 3.40
Bi (0.2500, 0.2500, 0.2500)  4 Ga 3.40, 4 In 3.40
Ga (0.5000, 0.5000, 0.5000)  4 Ac 3.40, 4 Bi 3.40
In (0.0000, 0.0000, 0.0000)  4 Bi 3.40, 4 Ac 3.40

Results
* calculated formation energy: -0.24 eV/atom
* M_tot: 0.0 μB/f.u.
* uncorrected energy: -14.732 eV for the cell shown
* symmetry: F-43m

=====

What is the formula in the first record? ZnSbAu2

=====

Which of these has the highest uncorrected energy? ZnSbAu2

=====

Number 3 is which compound? AcInGaBi

=====

What is the M_tot in the second record? 0.0 μB/f.u.